Entry 1:
Below is an optimized crystal structure of Cr4P, with properties calculated at the PBE level.

Properties
Energy above the lowest structure with this stoichiometry: 720 meV/atom
Final energy: -8.24 eV per atom
SG: Pm-3m

a = 4.269 Å, b = 4.269 Å, c = 4.269 Å
α = 90.00°, β = 90.00°, γ = 90.00°
Atoms (fractional coordinates):
Cr  0.000  0.000  0.000
Cr  0.000  0.500  0.500
Cr  0.500  0.000  0.500
Cr  0.500  0.500  0.000
P  0.500  0.500  0.500



Entry 2:
Below is an optimized crystal structure of CrP5, with properties calculated at the PBE level.

Properties
Energy above the lowest structure with this stoichiometry: 336 meV/atom
Final energy: -5.67 eV per atom
SG: P-62m

a = 4.594 Å, b = 4.594 Å, c = 4.652 Å
α = 90.00°, β = 90.00°, γ = 120.00°
Atoms (fractional coordinates):
Cr  0.000  0.000  0.000
P  0.000  0.719  0.500
P  0.281  0.281  0.500
P  0.333  0.667  0.000
P  0.667  0.333  0.000
P  0.719  0.000  0.500



Entry 3:
Below is an optimized crystal structure of Cr5P, with properties calculated at the PBE level.

Properties
Energy above the lowest structure with this stoichiometry: 11 meV/atom
Final energy: -9.05 eV per atom
SG: Cmmm

a = 6.130 Å, b = 6.130 Å, c = 3.917 Å
α = 90.00°, β = 90.00°, γ = 152.54°
Atoms (fractional coordinates):
Cr  0.000  0.000  0.000
Cr  0.167  0.833  0.500
Cr  0.336  0.664  0.000
Cr  0.664  0.336  0.000
Cr  0.833  0.167  0.500
P  0.500  0.500  0.500



Entry 4:
Below is an optimized crystal structure of Cr12P7, with properties calculated at the PBE level.

Properties
Final energy: -8.49 eV per atom
SG: P-6

a = 9.048 Å, b = 9.048 Å, c = 3.187 Å
α = 90.00°, β = 90.00°, γ = 120.00°
Atoms (fractional coordinates):
Cr  0.015  0.264  0.000
Cr  0.131  0.623  0.000
Cr  0.219  0.204  0.500
Cr  0.249  0.985  0.000
Cr  0.377  0.508  0.000
Cr  0.492  0.869  0.000
Cr  0.506  0.142  0.500
Cr  0.636  0.494  0.500
Cr  0.736  0.751  0.000
Cr  0.796  0.016  0.500
Cr  0.858  0.364  0.500
Cr  0.984  0.781  0.500
P  0.000  0.000  0.000
P  0.170  0.457  0.500
P  0.288  0.830  0.500
P  0.449  0.292  0.000
P  0.543  0.712  0.500
P  0.708  0.157  0.000
P  0.843  0.551  0.000



Entry 5:
Below is an optimized crystal structure of CrP5, with properties calculated at the PBE level.

Properties
Energy above the lowest structure with this stoichiometry: 679 meV/atom
Final energy: -5.33 eV per atom
SG: F-43m

a = 5.030 Å, b = 5.030 Å, c = 5.030 Å
α = 60.00°, β = 60.00°, γ = 60.00°
Atoms (fractional coordinates):
Cr  0.000  0.000  0.000
P  0.377  0.377  0.377
P  0.377  0.377  0.869
P  0.377  0.869  0.377
P  0.750  0.750  0.750
P  0.869  0.377  0.377



Entry 6:
Below is an optimized crystal structure of Cr2P, with properties calculated at the PBE level.

Properties
Final energy: -8.43 eV per atom
SG: Cmcm

a = 6.107 Å, b = 6.107 Å, c = 3.866 Å
α = 90.00°, β = 90.00°, γ = 151.99°
Atoms (fractional coordinates):
Cr  0.073  0.927  0.750
Cr  0.254  0.746  0.250
Cr  0.746  0.254  0.750
Cr  0.927  0.073  0.250
P  0.405  0.595  0.750
P  0.595  0.405  0.250



Entry 7:
Below is an optimized crystal structure of CrP3, with properties calculated at the PBE level.

Properties
Energy above the lowest structure with this stoichiometry: 263 meV/atom
Final energy: -6.32 eV per atom
SG: P4/mmm

a = 2.918 Å, b = 2.918 Å, c = 6.061 Å
α = 90.00°, β = 90.00°, γ = 90.00°
Atoms (fractional coordinates):
Cr  0.000  0.000  0.000
P  0.000  0.000  0.500
P  0.500  0.500  0.214
P  0.500  0.500  0.786



Entry 8:
Below is an optimized crystal structure of CrP5, with properties calculated at the PBE level.

Properties
Energy above the lowest structure with this stoichiometry: 0 meV/atom
Final energy: -6.01 eV per atom
SG: Cm

a = 4.819 Å, b = 4.819 Å, c = 7.515 Å
α = 97.28°, β = 97.28°, γ = 37.65°
Atoms (fractional coordinates):
Cr  0.000  0.000  0.000
P  0.300  0.300  0.011
P  0.338  0.338  0.729
P  0.572  0.572  0.791
P  0.642  0.642  0.256
P  0.995  0.995  0.323



Entry 9:
Below is an optimized crystal structure of Cr4P5, with properties calculated at the PBE level.

Properties
Final energy: -7.30 eV per atom
SG: P6_3/mcm

a = 7.476 Å, b = 7.476 Å, c = 4.798 Å
α = 90.00°, β = 90.00°, γ = 120.00°
Atoms (fractional coordinates):
Cr  0.000  0.000  0.000
Cr  0.000  0.000  0.500
Cr  0.000  0.367  0.250
Cr  0.000  0.633  0.750
Cr  0.367  0.000  0.250
Cr  0.367  0.367  0.750
Cr  0.633  0.000  0.750
Cr  0.633  0.633  0.250
P  0.000  0.280  0.750
P  0.000  0.720  0.250
P  0.280  0.000  0.750
P  0.280  0.280  0.250
P  0.333  0.667  0.000
P  0.333  0.667  0.500
P  0.667  0.333  0.000
P  0.667  0.333  0.500
P  0.720  0.000  0.250
P  0.720  0.720  0.750



Entry 10:
Below is an optimized crystal structure of CrP3, with properties calculated at the PBE level.

Properties
Energy above the lowest structure with this stoichiometry: 590 meV/atom
Final energy: -5.99 eV per atom
SG: P6_3/mmc

a = 5.335 Å, b = 5.335 Å, c = 9.411 Å
α = 90.00°, β = 90.00°, γ = 120.00°
Atoms (fractional coordinates):
Cr  0.000  0.000  0.000
Cr  0.000  0.000  0.500
Cr  0.333  0.667  0.250
Cr  0.667  0.333  0.750
P  0.000  0.500  0.000
P  0.000  0.500  0.500
P  0.146  0.292  0.750
P  0.146  0.854  0.750
P  0.292  0.146  0.250
P  0.500  0.000  0.000
P  0.500  0.000  0.500
P  0.500  0.500  0.000
P  0.500  0.500  0.500
P  0.708  0.854  0.750
P  0.854  0.146  0.250
P  0.854  0.708  0.250



Entry 11:
Below is an optimized crystal structure of Cr5P3, with properties calculated at the PBE level.

Properties
Energy above the lowest structure with this stoichiometry: 10 meV/atom
Final energy: -8.47 eV per atom
SG: P6_3/mcm

a = 6.701 Å, b = 6.701 Å, c = 4.678 Å
α = 90.00°, β = 90.00°, γ = 120.00°
Atoms (fractional coordinates):
Cr  0.000  0.245  0.250
Cr  0.000  0.755  0.750
Cr  0.245  0.000  0.250
Cr  0.245  0.245  0.750
Cr  0.333  0.667  0.000
Cr  0.333  0.667  0.500
Cr  0.667  0.333  0.000
Cr  0.667  0.333  0.500
Cr  0.755  0.000  0.750
Cr  0.755  0.755  0.250
P  0.000  0.386  0.750
P  0.000  0.614  0.250
P  0.386  0.000  0.750
P  0.386  0.386  0.250
P  0.614  0.000  0.250
P  0.614  0.614  0.750



Entry 12:
Below is an optimized crystal structure of Cr8P, with properties calculated at the PBE level.

Properties
Final energy: -9.07 eV per atom
SG: I4/mmm

a = 5.472 Å, b = 5.472 Å, c = 5.472 Å
α = 97.84°, β = 97.84°, γ = 136.64°
Atoms (fractional coordinates):
Cr  0.000  0.330  0.330
Cr  0.000  0.670  0.670
Cr  0.330  0.000  0.330
Cr  0.338  0.338  0.676
Cr  0.338  0.662  0.000
Cr  0.662  0.338  0.000
Cr  0.662  0.662  0.324
Cr  0.670  0.000  0.670
P  0.000  0.000  0.000



Listing formation energy from the elements for the structures above in their given order: 2.712, 2.647, -0.782, -7.986, 4.703, -0.640, 0.588, 0.629, -0.172, 1.897, -3.379, 0.767 eV/f.u..
Listing density of states at the Fermi level for the structures above in their given order: 3.81, 3.63, 4.68, 17.33, 4.36, 2.95, 2.04, 2.06, 6.77, 2.10, 8.43, 10.66 states/eV/f.u..